The following is a GGA-PBE calculation of LiTl2Br after structural relaxation, from Alexandria via LeMat-Bulk.

Computed properties:
**V**: 28.26 A^3/atom
**VASP energy**: -2.4412 eV/atom
**Excess energy over the best structure of this formula in the dataset**: 217.6 meV per atom
**Density**: 7.28 g/cm3
**DOS(E_F)**: 1.71 states/eV/cell
**Crystal system**: orthorhombic

Geometry as CIF:
```
data_LiTl2Br
_chemical_formula_sum 'Li2 Tl4 Br2'
_space_group_name_H-M_alt 'C m m m'
_space_group_IT_number 65
_space_group_name_Hall '-C 2 2'
_cell_length_a 6.628
_cell_length_b 9.205
_cell_length_c 3.705
_cell_angle_alpha 90.00
_cell_angle_beta 90.00
_cell_angle_gamma 90.00
loop_
_atom_site_label
_atom_site_fract_x
_atom_site_fract_y
_atom_site_fract_z
Li1 0.000 0.000 0.000
Tl1 0.250 0.250 0.500
Br1 0.000 0.500 0.000
```